The following is a DFT calculation (PBE-GGA) of a relaxed structure of Tl2ZnSnHg6.

Cell lengths 6.612, 8.774, 6.503 Å; angles 46.89, 90.26, 98.53 degrees
Fractional coordinates of all 10 atoms:
Hg 0.401 0.290 0.583
Hg 0.780 0.891 0.691
Hg 0.220 0.109 0.309
Hg 0.599 0.710 0.417
Hg 0.319 0.787 0.963
Hg 0.681 0.213 0.037
Sn 0.000 0.000 0.000
Tl 0.106 0.582 0.669
Tl 0.894 0.418 0.331
Zn 0.500 0.500 0.000

Properties
The density comes out at 11.1 g/cm³. The calculation puts the formation enthalpy at 0 K at 4 kJ/mol of atoms. The final energy is -1.15 eV per atom.